Entry 1:
VASP calculation (PBE) on an optimized crystal structure of Ho2IrRu.

Results
Energy relative to the elements: -0.643 eV/atom
Crystal system: cubic

a = 4.802 Å, b = 4.802 Å, c = 4.802 Å
α = 60.00°, β = 60.00°, γ = 60.00°
Atoms (fractional coordinates):
Ho1 0.750 0.750 0.750
Ho2 0.250 0.250 0.250
Ru1 0.000 0.000 0.000
Ir1 0.500 0.500 0.500

Entry 2:
VASP calculation (PBE) on an optimized crystal structure of Ho5Ir2Ru.

Results
Energy relative to the elements: -0.618 eV/atom
Crystal system: orthorhombic

a = 4.202 Å, b = 7.479 Å, c = 11.939 Å
α = 90.00°, β = 90.00°, γ = 90.00°
Atoms (fractional coordinates):
Ir1 0.500 0.038 0.330
Ir2 0.500 0.962 0.670
Ir3 0.500 0.538 0.170
Ir4 0.500 0.462 0.830
Ho1 0.500 0.827 0.906
Ho2 0.000 0.335 0.296
Ho3 0.500 0.327 0.594
Ho4 0.000 0.165 0.796
Ho5 0.500 0.673 0.406
Ho6 0.000 0.500 0.000
Ho7 0.000 0.835 0.204
Ho8 0.000 0.665 0.704
Ho9 0.500 0.173 0.094
Ho10 0.000 0.000 0.500
Ru1 0.000 0.000 0.000
Ru2 0.000 0.500 0.500

Entry 3:
VASP calculation (PBE) on an optimized crystal structure of Ho8IrRu2.

Results
ΔE to the lowest computed polymorph: 0.053 eV per atom
Energy relative to the elements: -0.333 eV/atom
Crystal system: monoclinic

a = 5.902 Å, b = 7.512 Å, c = 7.512 Å
α = 113.29°, β = 100.79°, γ = 100.79°
Atoms (fractional coordinates):
Ho1 0.387 0.927 0.668
Ho2 0.799 0.642 0.642
Ho3 0.989 0.788 0.212
Ho4 0.579 0.343 0.083
Ho5 0.176 0.360 0.360
Ho6 0.387 0.668 0.927
Ho7 0.579 0.083 0.343
Ho8 0.989 0.212 0.788
Ru1 0.485 0.317 0.696
Ru2 0.485 0.696 0.317
Ir1 0.144 0.998 0.998

Entry 4:
VASP calculation (PBE) on an optimized crystal structure of HoSi3IrRu.

Results
E_tot: -7.02 eV per atom
Crystal system: orthorhombic

a = 5.507 Å, b = 6.210 Å, c = 7.472 Å
α = 114.55°, β = 90.00°, γ = 90.00°
Atoms (fractional coordinates):
Si1 0.750 0.772 0.544
Si2 0.500 0.287 0.000
Si3 0.000 0.713 0.000
Si4 0.000 0.287 0.000
Si5 0.250 0.228 0.456
Si6 0.500 0.713 0.000
Ho1 0.250 0.818 0.637
Ho2 0.750 0.182 0.363
Ru1 0.750 0.936 0.873
Ru2 0.250 0.064 0.127
Ir1 0.750 0.607 0.214
Ir2 0.250 0.393 0.786

Entry 5:
VASP calculation (PBE) on an optimized crystal structure of Ho2Si4Ir3Ru.

Results
E_tot: -7.69 eV per atom
Crystal system: tetragonal

a = 4.166 Å, b = 4.166 Å, c = 9.645 Å
α = 90.00°, β = 90.00°, γ = 90.00°
Atoms (fractional coordinates):
Si1 0.500 0.500 0.000
Si2 0.000 0.500 0.375
Si3 0.000 0.000 0.000
Si4 0.500 0.000 0.625
Ho1 0.000 0.500 0.752
Ho2 0.500 0.000 0.248
Ir1 0.500 0.000 0.872
Ir2 0.000 0.500 0.128
Ir3 0.000 0.000 0.500
Ru1 0.500 0.500 0.500

Entry 6:
VASP calculation (PBE) on an optimized crystal structure of SmHoIrRu.

Results
Energy relative to the elements: -0.519 eV/atom
Crystal system: cubic

a = 4.868 Å, b = 4.868 Å, c = 4.868 Å
α = 60.00°, β = 60.00°, γ = 60.00°
Atoms (fractional coordinates):
Ru1 0.750 0.750 0.750
Sm1 0.500 0.500 0.500
Ho1 0.000 0.000 0.000
Ir1 0.250 0.250 0.250

In order of appearance, total magnetic moment = 0.000, 0.000, 0.000, 0.000, 0.000, 0.000 Bohr magnetons per cell.